Record 1
! RbPu4Pd3S12 (GGA-PBE, optimized geometry); values from VASP
&SYSTEM
  ibrav = 0, nat = 20, ntyp = 4
/
ATOMIC_SPECIES
Rb 85.47 Rb.upf
Pu 244.00 Pu.upf
Pd 106.42 Pd.upf
S 32.06 S.upf
ATOMIC_POSITIONS angstrom
Rb 0.000 0.000 0.000
Pu -0.283 -3.204 2.750
Pu -1.270 1.474 3.758
Pu 2.800 2.836 1.422
Pu -3.787 1.842 -0.414
Pd -0.986 4.678 1.008
Pd 2.517 -0.368 4.172
Pd -4.070 -1.361 2.335
S 3.310 3.265 4.014
S -5.850 -0.316 3.501
S 0.397 2.290 5.685
S 2.084 -0.946 6.430
S -2.025 -3.283 4.780
S 0.191 2.884 2.014
S 0.283 -0.682 3.444
S -0.515 6.232 2.735
S -2.937 0.658 1.830
S -4.624 3.894 1.086
S -2.731 0.065 5.501
S -2.823 3.631 4.071
CELL_PARAMETERS angstrom
-0.567 -6.408 5.499
5.601 5.671 2.844
-7.573 3.685 -0.828
! **Space group**: No. 204
! **E**: -141.7 eV per formula unit
! **V**: 466.6 Å³ per cell



Record 2
! RbPuPdS2 (GGA-PBE, optimized geometry); values from VASP
&SYSTEM
  ibrav = 0, nat = 10, ntyp = 4
/
ATOMIC_SPECIES
Rb 85.47 Rb.upf
Pu 244.00 Pu.upf
Pd 106.42 Pd.upf
S 32.06 S.upf
ATOMIC_POSITIONS angstrom
Rb 0.300 -3.161 5.459
Rb -3.541 -0.214 4.420
Pu 0.125 1.201 2.816
Pu 2.478 0.470 5.757
Pd 0.000 0.000 0.000
Pd 2.419 -0.829 2.857
S -1.397 -3.195 8.433
S -0.249 0.218 5.356
S -2.993 -3.593 4.523
S -1.845 -0.180 1.446
CELL_PARAMETERS angstrom
-2.235 3.330 2.860
-5.845 -5.046 1.306
4.838 -1.659 5.714
! **Space group**: No. 13
! **E**: -34.3 eV per formula unit
! **V**: 289.4 Å³ per cell



Record 3
! Rb2Pu2PdS6 (GGA-PBE, optimized geometry); values from VASP
&SYSTEM
  ibrav = 0, nat = 11, ntyp = 4
/
ATOMIC_SPECIES
Rb 85.47 Rb.upf
Pu 244.00 Pu.upf
Pd 106.42 Pd.upf
S 32.06 S.upf
ATOMIC_POSITIONS angstrom
Rb 4.869 1.315 0.103
Rb -1.264 4.883 0.103
Pu -0.420 2.971 3.929
Pu 2.790 1.103 3.929
Pd -0.618 -1.062 3.826
S 1.521 2.615 5.678
S -1.515 0.740 5.190
S 0.849 1.459 2.180
S 1.392 -0.951 5.190
S 3.885 3.335 2.667
S 0.978 5.026 2.667
CELL_PARAMETERS angstrom
6.569 0.326 0.103
-2.963 5.872 0.103
-1.235 -2.123 7.652
! **Space group**: No. 12
! **E**: -73.4 eV per formula unit
! **V**: 305.3 Å³ per cell



Record 4
! Rb2Pu2PdSe6 (GGA-PBE, optimized geometry); values from VASP
&SYSTEM
  ibrav = 0, nat = 11, ntyp = 4
/
ATOMIC_SPECIES
Rb 85.47 Rb.upf
Pu 244.00 Pu.upf
Pd 106.42 Pd.upf
Se 78.96 Se.upf
ATOMIC_POSITIONS angstrom
Rb 5.205 1.044 0.057
Rb -1.665 5.041 0.057
Pu -0.609 2.973 4.152
Pu 2.886 0.940 4.152
Pd -0.632 -1.086 4.095
Se 1.800 3.094 5.681
Se -1.703 0.820 5.660
Se 0.477 0.819 2.624
Se 1.554 -1.075 5.660
Se 3.979 3.093 2.645
Se 0.722 4.988 2.645
CELL_PARAMETERS angstrom
6.967 0.019 0.057
-3.427 6.066 0.057
-1.264 -2.172 8.191
! **Space group**: No. 12
! **E**: -68.4 eV per formula unit
! **V**: 348.4 Å³ per cell



Record 5
! Rb3Pu2PdSe6 (GGA-PBE, optimized geometry); values from VASP
&SYSTEM
  ibrav = 0, nat = 12, ntyp = 4
/
ATOMIC_SPECIES
Rb 85.47 Rb.upf
Pu 244.00 Pu.upf
Pd 106.42 Pd.upf
Se 78.96 Se.upf
ATOMIC_POSITIONS angstrom
Rb -2.492 4.211 3.989
Rb 4.893 -0.054 3.989
Rb 1.201 2.079 3.989
Pu -0.048 4.159 0.014
Pu 3.626 2.037 0.014
Pd 0.000 0.000 0.000
Se 3.631 2.059 6.417
Se 2.475 4.285 1.441
Se -1.230 2.099 1.562
Se -0.031 4.174 6.417
Se -0.074 -0.128 6.538
Se 2.432 -0.016 1.562
CELL_PARAMETERS angstrom
7.268 -0.066 0.014
-3.689 6.262 0.014
-1.178 -2.039 7.950
! **Space group**: No. 12
! **E**: -70.9 eV per formula unit
! **V**: 360.3 Å³ per cell



Record 6
! Rb3Pu3PdSe8 (GGA-PBE, optimized geometry); values from VASP
&SYSTEM
  ibrav = 0, nat = 15, ntyp = 4
/
ATOMIC_SPECIES
Rb 85.47 Rb.upf
Pu 244.00 Pu.upf
Pd 106.42 Pd.upf
Se 78.96 Se.upf
ATOMIC_POSITIONS angstrom
Rb 0.000 0.000 0.000
Rb -2.644 -2.401 -2.259
Rb -4.191 0.543 0.044
Pu 0.496 1.018 6.136
Pu -2.148 -1.383 3.877
Pu -0.602 -4.326 1.574
Pd 2.043 -1.926 3.833
Se -2.445 -2.166 1.127
Se -1.852 -0.599 6.627
Se -3.322 1.115 3.449
Se -0.974 -3.880 4.305
Se -1.328 3.233 6.019
Se -2.968 -5.998 1.735
Se 0.386 -0.031 3.466
Se -4.683 -2.734 4.288
CELL_PARAMETERS angstrom
-3.093 5.888 4.606
-5.289 -4.802 -4.518
4.085 -3.851 7.666
! **Space group**: No. 12
! **E**: -96.6 eV per formula unit
! **V**: 481.9 Å³ per cell